Here is a geometry-optimized LiCrSb structure from Alexandria via LeMat-Bulk. Energies are from PBE.

Unit cell a=4.557 b=4.557 c=3.241 alpha=90.00 beta=90.00 gamma=120.00
Site moments in Bohr magnetons follow the coordinates.
Positions (direct):
Cr: 0.000 0.000 0.966  3.74
Li: 0.667 0.333 0.377  0.01
Sb: 0.333 0.667 0.656  -0.07

N(E_F)	1.8	states/eV/f.u.
ΔE_f (raw)	0.1060	eV per atom
size of the total moment	4.250	μB per cell
final energy	-5.11	eV/atom
density	5.15	Mg/m³
space-group type	No. 156